# PBE Co2PBr, relaxed
# **ΔE to the lowest computed polymorph**: 1.264 eV/atom
data_Co2PBr
_chemical_formula_sum 'Co2 P1 Br1'
_symmetry_space_group_name_H-M 'P 1'
_symmetry_Int_Tables_number 1
_cell_length_a 4.360
_cell_length_b 4.360
_cell_length_c 4.360
_cell_angle_alpha 60.00
_cell_angle_beta 60.00
_cell_angle_gamma 60.00
loop_
_symmetry_equiv_pos_as_xyz
'x,y,z'
loop_
_atom_site_label
_atom_site_type_symbol
_atom_site_fract_x
_atom_site_fract_y
_atom_site_fract_z
Co1 Co 0.750 0.750 0.750
Co2 Co 0.000 0.000 0.000
P1 P 0.250 0.250 0.250
Br1 Br 0.500 0.500 0.500

# PBE BeTlCd2Mo, relaxed
# **E_form**: 32.8 kcal/mol of atoms
data_BeTlCd2Mo
_chemical_formula_sum 'Be1 Tl1 Cd2 Mo1'
_symmetry_space_group_name_H-M 'P 1'
_symmetry_Int_Tables_number 1
_cell_length_a 5.414
_cell_length_b 5.423
_cell_length_c 5.414
_cell_angle_alpha 90.00
_cell_angle_beta 90.00
_cell_angle_gamma 90.00
loop_
_symmetry_equiv_pos_as_xyz
'x,y,z'
loop_
_atom_site_label
_atom_site_type_symbol
_atom_site_fract_x
_atom_site_fract_y
_atom_site_fract_z
Mo1 Mo 0.000 0.000 0.000
Cd1 Cd 0.000 0.000 0.500
Cd2 Cd 0.500 0.000 0.000
Be1 Be 0.500 0.500 0.500
Tl1 Tl 0.000 0.500 0.000